ThFeNi | PBE | relaxed

Structure (POSCAR):
```
ThFeNi
1.0
5.214 -0.117 0.100
-2.646 4.494 -0.100
2.580 1.428 4.303
Fe Th Ni
2 2 2
Direct
0.000 0.500 0.000 Fe
0.500 0.000 0.000 Fe
0.250 0.122 0.628 Th
0.750 0.878 0.372 Th
0.500 0.500 0.000 Ni
0.000 0.500 0.500 Ni
```

Calculated values
calculated total energy: -7.392 eV per atom
magnetization: 2.354 μB/cell
DOS at the Fermi energy: 1.32 states/eV per atom

ThFe4Ni | PBE | relaxed

Structure (POSCAR):
```
ThFe4Ni
1.0
5.026 0.000 0.000
-2.513 4.353 0.000
0.000 0.000 4.101
Th Fe Ni
1 4 1
Direct
0.667 0.333 0.000 Th
0.664 0.832 0.500 Fe
0.168 0.336 0.500 Fe
0.168 0.832 0.500 Fe
0.333 0.667 0.000 Fe
0.000 0.000 0.000 Ni
```

Calculated values
calculated total energy: -7.936 eV per atom
magnetization: 8.988 μB/cell
DOS at the Fermi energy: 1.03 states/eV per atom

Th6FeNi2 | PBE | relaxed

Structure (POSCAR):
```
Th6FeNi2
1.0
-1.936 2.422 -2.016
-2.247 -6.089 -5.157
-4.682 1.766 6.618
Fe Th Ni
1 6 2
Direct
0.500 0.000 0.000 Fe
0.500 0.000 0.585 Th
0.000 0.758 0.758 Th
0.000 0.000 0.242 Th
0.000 0.242 0.000 Th
0.500 0.585 0.000 Th
0.500 0.415 0.415 Th
0.000 0.667 0.334 Ni
0.000 0.333 0.666 Ni
```

Calculated values
calculated total energy: -7.310 eV per atom
magnetization: 0.000 μB/cell
DOS at the Fermi energy: 1.23 states/eV per atom

ThFeNi4 | PBE | relaxed

Structure (POSCAR):
```
ThFeNi4
1.0
3.771 0.000 0.000
0.000 6.502 0.000
0.000 0.000 7.111
Th Ni Fe
2 8 2
Direct
0.000 0.358 0.250 Th
0.000 0.642 0.750 Th
0.500 0.975 0.750 Ni
0.500 0.293 0.951 Ni
0.500 0.707 0.049 Ni
0.500 0.293 0.549 Ni
0.000 0.000 0.500 Ni
0.500 0.707 0.451 Ni
0.500 0.025 0.250 Ni
0.000 0.000 0.000 Ni
0.000 0.224 0.750 Fe
0.000 0.776 0.250 Fe
```

Calculated values
calculated total energy: -6.651 eV per atom
magnetization: 7.132 μB/cell
DOS at the Fermi energy: 0.90 states/eV per atom

Th2Fe5Ni5 | PBE | relaxed

Structure (POSCAR):
```
Th2Fe5Ni5
1.0
4.001 0.000 0.000
0.000 5.058 0.000
0.000 0.000 8.646
Ni Fe Th
5 5 2
Direct
0.500 0.249 0.250 Ni
0.500 0.751 0.250 Ni
0.500 0.249 0.750 Ni
0.500 0.000 0.000 Ni
0.500 0.751 0.750 Ni
0.000 0.000 0.834 Fe
0.000 0.500 0.659 Fe
0.000 0.500 0.341 Fe
0.500 0.500 0.500 Fe
0.000 0.000 0.166 Fe
0.000 0.500 0.000 Th
0.000 0.000 0.500 Th
```

Calculated values
calculated total energy: -7.358 eV per atom
magnetization: 13.001 μB/cell
DOS at the Fermi energy: 1.10 states/eV per atom

TmThFeNi | PBE | relaxed

Structure (POSCAR):
```
TmThFeNi
1.0
-2.720 -3.837 0.994
-1.570 -2.821 -3.562
1.800 -4.425 -0.533
Fe Th Ni Tm
1 1 1 1
Direct
0.750 0.750 0.750 Fe
0.000 0.000 0.000 Th
0.250 0.250 0.250 Ni
0.500 0.500 0.500 Tm
```

Calculated values
calculated total energy: -6.672 eV per atom
magnetization: 0.645 μB/cell
DOS at the Fermi energy: 0.97 states/eV per atom

Th2ZnFe2Ni5 | PBE | relaxed

Structure (POSCAR):
```
Th2ZnFe2Ni5
1.0
-1.315 1.149 3.493
-3.123 -8.084 1.484
7.668 -2.294 3.641
Zn Th Fe Ni
2 4 4 10
Direct
0.000 0.500 0.500 Zn
0.000 0.000 0.000 Zn
0.000 0.182 0.318 Th
0.000 0.818 0.682 Th
0.000 0.682 0.182 Th
0.000 0.318 0.818 Th
0.000 0.114 0.614 Fe
0.000 0.386 0.114 Fe
0.000 0.614 0.886 Fe
0.000 0.886 0.386 Fe
0.500 0.500 0.000 Ni
0.500 0.792 0.938 Ni
0.500 0.208 0.062 Ni
0.500 0.938 0.208 Ni
0.500 0.562 0.708 Ni
0.500 0.292 0.562 Ni
0.500 0.438 0.292 Ni
0.500 0.062 0.792 Ni
0.500 0.000 0.500 Ni
0.500 0.708 0.438 Ni
```

Calculated values
calculated total energy: -6.372 eV per atom
magnetization: 7.010 μB/cell
DOS at the Fermi energy: 0.95 states/eV per atom

Th2ZnFe3Ni12 | PBE | relaxed

Structure (POSCAR):
```
Th2ZnFe3Ni12
1.0
-1.549 5.991 1.236
-2.108 -0.986 5.865
5.351 1.541 2.968
Ni Th Fe Zn
12 2 3 1
Direct
0.197 0.197 0.725 Ni
0.413 0.860 0.413 Ni
0.860 0.413 0.413 Ni
0.413 0.413 0.860 Ni
0.803 0.275 0.803 Ni
0.725 0.197 0.197 Ni
0.197 0.725 0.197 Ni
0.587 0.140 0.587 Ni
0.275 0.803 0.803 Ni
0.587 0.587 0.140 Ni
0.140 0.587 0.587 Ni
0.803 0.803 0.275 Ni
0.293 0.293 0.293 Th
0.707 0.707 0.707 Th
0.000 0.500 0.000 Fe
0.500 0.000 0.000 Fe
0.000 0.000 0.500 Fe
0.000 0.000 0.000 Zn
```

Calculated values
calculated total energy: -6.156 eV per atom
magnetization: 9.925 μB/cell
DOS at the Fermi energy: 1.11 states/eV per atom

TiFeNi6 | PBE | relaxed

Structure (POSCAR):
```
TiFeNi6
1.0
3.568 0.000 0.000
0.000 5.067 -0.032
0.000 0.032 5.067
Ni Fe Ti
6 1 1
Direct
0.500 0.500 0.000 Ni
0.500 0.000 0.500 Ni
0.000 0.747 0.747 Ni
0.000 0.253 0.747 Ni
0.000 0.747 0.253 Ni
0.000 0.253 0.253 Ni
0.500 0.500 0.500 Fe
0.500 0.000 0.000 Ti
```

Calculated values
calculated total energy: -6.641 eV per atom
magnetization: 4.718 μB/cell
DOS at the Fermi energy: 0.64 states/eV per atom

TiFe2Ni | PBE | relaxed

Structure (POSCAR):
```
TiFe2Ni
1.0
-3.834 -0.313 1.441
-0.648 -1.240 3.862
-1.361 2.667 2.813
Ti Fe Ni
1 2 1
Direct
0.500 0.500 0.500 Ti
0.750 0.750 0.750 Fe
0.250 0.250 0.250 Fe
0.000 0.000 0.000 Ni
```

Calculated values
calculated total energy: -7.753 eV per atom
magnetization: 3.746 μB/cell
DOS at the Fermi energy: 1.44 states/eV per atom

TiFe2Ni8 | PBE | relaxed

Structure (POSCAR):
```
TiFe2Ni8
1.0
4.086 1.459 0.000
2.430 6.069 0.000
1.215 3.035 6.177
Ni Ti Fe
8 1 2
Direct
0.762 0.375 0.727 Ni
0.238 0.625 0.273 Ni
0.500 0.195 0.610 Ni
0.250 0.499 0.000 Ni
0.500 0.805 0.390 Ni
0.750 0.501 0.000 Ni
0.762 0.102 0.273 Ni
0.238 0.898 0.727 Ni
0.500 0.000 0.000 Ti
0.000 0.682 0.637 Fe
0.000 0.318 0.363 Fe
```

Calculated values
calculated total energy: -6.474 eV per atom
magnetization: 8.455 μB/cell
DOS at the Fermi energy: 0.87 states/eV per atom

Ti2Fe2Ni | PBE | relaxed

Structure (POSCAR):
```
Ti2Fe2Ni
1.0
3.221 0.000 0.000
0.000 3.221 0.000
1.611 1.611 6.892
Ni Fe Ti
1 2 2
Direct
0.000 0.000 0.000 Ni
0.750 0.250 0.500 Fe
0.250 0.750 0.500 Fe
0.396 0.396 0.209 Ti
0.604 0.604 0.791 Ti
```

Calculated values
calculated total energy: -7.556 eV per atom
magnetization: 2.797 μB/cell
DOS at the Fermi energy: 1.22 states/eV per atom

TiFe4Ni15 | PBE | relaxed

Structure (POSCAR):
```
TiFe4Ni15
1.0
-2.199 1.808 -2.141
0.111 -2.663 -2.364
-13.931 -7.594 7.900
Ni Fe Ti
15 4 1
Direct
0.500 0.000 0.698 Ni
0.500 0.000 0.897 Ni
0.500 0.500 0.000 Ni
0.000 0.500 0.103 Ni
0.000 0.500 0.302 Ni
0.000 0.500 0.897 Ni
0.500 0.000 0.500 Ni
0.000 0.500 0.698 Ni
0.500 0.500 0.401 Ni
0.500 0.500 0.798 Ni
0.000 0.500 0.500 Ni
0.500 0.500 0.202 Ni
0.500 0.000 0.302 Ni
0.500 0.000 0.103 Ni
0.500 0.500 0.599 Ni
0.000 0.000 0.797 Fe
0.000 0.000 0.203 Fe
0.000 0.000 0.599 Fe
0.000 0.000 0.401 Fe
0.000 0.000 0.000 Ti
```

Calculated values
calculated total energy: -6.580 eV per atom
magnetization: 19.093 μB/cell
DOS at the Fermi energy: 0.64 states/eV per atom

TiFe3Ni6 | PBE | relaxed

Structure (POSCAR):
```
TiFe3Ni6
1.0
-1.874 -1.574 2.616
6.844 -2.034 3.680
-0.168 6.959 4.067
Fe Ni Ti
6 12 2
Direct
0.250 0.748 0.999 Fe
0.750 0.252 0.001 Fe
0.250 0.347 0.799 Fe
0.750 0.653 0.201 Fe
0.750 0.448 0.602 Fe
0.250 0.552 0.398 Fe
0.750 0.147 0.702 Ni
0.750 0.844 0.803 Ni
0.250 0.052 0.906 Ni
0.750 0.948 0.094 Ni
0.750 0.547 0.901 Ni
0.250 0.156 0.197 Ni
0.250 0.640 0.702 Ni
0.250 0.453 0.099 Ni
0.750 0.360 0.298 Ni
0.750 0.749 0.500 Ni
0.250 0.251 0.500 Ni
0.250 0.853 0.298 Ni
0.750 0.062 0.379 Ti
0.250 0.938 0.621 Ti
```

Calculated values
calculated total energy: -6.946 eV per atom
magnetization: 20.508 μB/cell
DOS at the Fermi energy: 0.81 states/eV per atom

Ti2Fe2Ni | PBE | relaxed

Structure (POSCAR):
```
Ti2Fe2Ni
1.0
6.771 0.000 0.000
0.000 6.771 0.000
0.000 0.000 2.874
Fe Ti Ni
4 4 2
Direct
0.852 0.352 0.500 Fe
0.352 0.148 0.500 Fe
0.148 0.648 0.500 Fe
0.648 0.852 0.500 Fe
0.847 0.653 0.000 Ti
0.347 0.847 0.000 Ti
0.153 0.347 0.000 Ti
0.653 0.153 0.000 Ti
0.500 0.500 0.000 Ni
0.000 0.000 0.000 Ni
```

Calculated values
calculated total energy: -7.616 eV per atom
magnetization: 0.000 μB/cell
DOS at the Fermi energy: 0.66 states/eV per atom

TiFe2Ni | PBE | relaxed

Structure (POSCAR):
```
TiFe2Ni
1.0
3.463 0.000 0.000
0.000 3.463 0.000
1.732 1.732 8.813
Ti Ni Fe
2 2 4
Direct
0.250 0.750 0.500 Ti
0.500 0.500 0.000 Ti
0.000 0.000 0.000 Ni
0.750 0.250 0.500 Ni
0.122 0.625 0.250 Fe
0.875 0.878 0.750 Fe
0.628 0.125 0.250 Fe
0.375 0.372 0.750 Fe
```

Calculated values
calculated total energy: -7.448 eV per atom
magnetization: 7.940 μB/cell
DOS at the Fermi energy: 1.19 states/eV per atom

Ti2FeNi | PBE | relaxed

Structure (POSCAR):
```
Ti2FeNi
1.0
6.521 0.000 0.000
0.000 6.521 0.000
3.260 3.260 2.624
Fe Ni Ti
2 2 4
Direct
0.500 0.500 0.000 Fe
0.250 0.750 0.500 Fe
0.000 0.000 0.000 Ni
0.750 0.250 0.500 Ni
0.375 0.383 0.750 Ti
0.875 0.867 0.750 Ti
0.617 0.125 0.250 Ti
0.133 0.625 0.250 Ti
```

Calculated values
calculated total energy: -7.416 eV per atom
magnetization: 0.000 μB/cell
DOS at the Fermi energy: 1.21 states/eV per atom

TiFe2Ni2 | PBE | relaxed

Structure (POSCAR):
```
TiFe2Ni2
1.0
3.257 0.000 0.000
0.000 3.257 0.000
1.629 1.629 5.815
Fe Ni Ti
2 2 1
Direct
0.750 0.250 0.500 Fe
0.250 0.750 0.500 Fe
0.401 0.401 0.198 Ni
0.599 0.599 0.802 Ni
0.000 0.000 0.000 Ti
```

Calculated values
calculated total energy: -7.147 eV per atom
magnetization: 0.000 μB/cell
DOS at the Fermi energy: 1.61 states/eV per atom

Ti2FeNi9 | PBE | relaxed

Structure (POSCAR):
```
Ti2FeNi9
1.0
3.588 0.000 0.000
0.000 3.588 0.000
0.000 0.000 10.770
Ni Ti Fe
9 2 1
Direct
0.500 0.500 0.000 Ni
0.500 0.000 0.837 Ni
0.500 0.000 0.500 Ni
0.000 0.500 0.163 Ni
0.000 0.500 0.837 Ni
0.000 0.500 0.500 Ni
0.500 0.000 0.163 Ni
0.500 0.500 0.668 Ni
0.500 0.500 0.332 Ni
0.000 0.000 0.670 Ti
0.000 0.000 0.330 Ti
0.000 0.000 0.000 Fe
```

Calculated values
calculated total energy: -6.692 eV per atom
magnetization: 4.965 μB/cell
DOS at the Fermi energy: 0.49 states/eV per atom

Ti2Fe2Ni | PBE | relaxed

Structure (POSCAR):
```
Ti2Fe2Ni
1.0
-5.119 -1.405 -3.192
1.042 -6.026 0.981
-1.835 0.151 2.876
Ti Ni Fe
4 2 4
Direct
0.816 0.316 0.500 Ti
0.184 0.684 0.500 Ti
0.316 0.184 0.500 Ti
0.684 0.816 0.500 Ti
0.500 0.500 0.000 Ni
0.000 0.000 0.000 Ni
0.126 0.374 0.000 Fe
0.874 0.626 0.000 Fe
0.374 0.874 0.000 Fe
0.626 0.126 0.000 Fe
```

Calculated values
calculated total energy: -7.827 eV per atom
magnetization: 0.031 μB/cell
DOS at the Fermi energy: 1.15 states/eV per atom

Ti2FeNi | PBE | relaxed

Structure (POSCAR):
```
Ti2FeNi
1.0
-1.553 -0.789 -2.403
1.834 -2.292 -0.433
-3.534 -3.474 3.424
Ti Fe Ni
2 1 1
Direct
0.000 0.000 0.245 Ti
0.000 0.000 0.755 Ti
0.500 0.500 0.000 Fe
0.500 0.500 0.500 Ni
```

Calculated values
calculated total energy: -7.872 eV per atom
magnetization: 0.000 μB/cell
DOS at the Fermi energy: 1.34 states/eV per atom

TiFe2Ni2 | PBE | relaxed

Structure (POSCAR):
```
TiFe2Ni2
1.0
6.928 0.000 0.000
0.000 6.928 0.000
0.000 0.000 2.597
Fe Ni Ti
4 4 2
Direct
0.830 0.330 0.500 Fe
0.670 0.830 0.500 Fe
0.330 0.170 0.500 Fe
0.170 0.670 0.500 Fe
0.127 0.373 0.000 Ni
0.873 0.627 0.000 Ni
0.373 0.873 0.000 Ni
0.627 0.127 0.000 Ni
0.500 0.500 0.000 Ti
0.000 0.000 0.000 Ti
```

Calculated values
calculated total energy: -7.317 eV per atom
magnetization: 10.338 μB/cell
DOS at the Fermi energy: 1.14 states/eV per atom